Entry 1:
A plane-wave DFT calculation with PBE-GGA was carried out for an optimized crystal structure of DyYTlIr.

a b c (Å): 7.2147 7.2147 7.2147
angles (deg): 90.00 90.00 90.00
Space group F-43m (No. 216)
Inequivalent atoms, fractional coordinates:
Dy  0.0000  0.0000  0.0000 (multiplicity 4)
Y  0.0000  0.0000  0.5000 (multiplicity 4)
Tl  0.2500  0.2500  0.7500 (multiplicity 4)
Ir  0.2500  0.2500  0.2500 (multiplicity 4)

Relative energy among the computed polymorphs = 117.9 meV per atom
M_tot = 0.000 Bohr magnetons per cell
Calculated volume = 375.5 Å³ per cell
Calculated density = 11.5 g cm⁻³
Formation enthalpy at 0 K = -0.49 eV per atom

***

Entry 2:
A plane-wave DFT calculation with PBE-GGA was carried out for an optimized crystal structure of CeMg15Cd4.

a b c (Å): 4.6401 4.6401 21.2282
angles (deg): 90.00 90.00 90.00
Space group P4/mmm (No. 123)
Inequivalent atoms, fractional coordinates:
Ce  0.0000  0.0000  0.0000 (multiplicity 1)
Mg  0.0000  0.5000  0.1111 (multiplicity 4)
Mg  0.0000  0.5000  0.3044 (multiplicity 4)
Mg  0.0000  0.5000  0.5000 (multiplicity 2)
Mg  0.5000  0.5000  0.0000 (multiplicity 1)
Mg  0.5000  0.5000  0.2103 (multiplicity 2)
Mg  0.5000  0.5000  0.4009 (multiplicity 2)
Cd  0.0000  0.0000  0.2048 (multiplicity 2)
Cd  0.0000  0.0000  0.4039 (multiplicity 2)

M_tot = 1.059 Bohr magnetons per cell
Calculated volume = 457.1 Å³ per cell
Calculated density = 3.5 g cm⁻³
Formation enthalpy at 0 K = -0.04 eV per atom